Record 1
Entry from Alexandria: a relaxed Y2WO6 crystal (GGA-PBEsol).

E_form (uncorrected): -3.093 eV per atom

a b c (Å): 7.5983 5.3159 11.3064
angles (deg): 90.00 104.65 90.00
Last column: nearest neighbours and their distance in Å.
Fractional coordinates of all 36 atoms:
Y 0.0000 0.1811 0.2500  8 O 2.31-2.43
Y 0.0000 0.8189 0.7500  8 O 2.31-2.43
Y 0.2967 0.3151 0.9222  7 O 2.23-2.37
Y 0.2967 0.6849 0.4222  7 O 2.23-2.37
Y 0.5000 0.2380 0.2500  8 O 2.25-2.51
Y 0.5000 0.7620 0.7500  8 O 2.25-2.51
Y 0.7033 0.3151 0.5778  7 O 2.23-2.37
Y 0.7033 0.6849 0.0778  7 O 2.23-2.37
W 0.2222 0.2462 0.6140  6 O 1.85-2.05
W 0.2222 0.7538 0.1140  6 O 1.85-2.05
W 0.7778 0.2462 0.8860  6 O 1.85-2.05
W 0.7778 0.7538 0.3860  6 O 1.85-2.05
O 0.0113 0.1429 0.8873  1 W 1.85
O 0.0113 0.8571 0.3873  1 W 1.85
O 0.1329 0.3459 0.4510  1 W 1.87
O 0.1329 0.6541 0.9510  1 W 1.87
O 0.2117 0.4832 0.2291  1 W 1.96
O 0.2117 0.5168 0.7291  1 W 1.96
O 0.2863 0.0383 0.7718  1 W 2.05, 2 Y 2.24-2.25
O 0.2863 0.9617 0.2718  1 W 2.05, 2 Y 2.24-2.25
O 0.3518 0.0259 0.0701  1 W 1.89
O 0.3518 0.9741 0.5701  1 W 1.89
O 0.4372 0.4612 0.6033  1 W 2.02, 1 Y 2.25
O 0.4372 0.5388 0.1033  1 W 2.02, 1 Y 2.25
O 0.5628 0.4612 0.8967  1 W 2.02, 1 Y 2.25
O 0.5628 0.5388 0.3967  1 W 2.02, 1 Y 2.25
O 0.6482 0.0259 0.4299  1 W 1.89
O 0.6482 0.9741 0.9299  1 W 1.89
O 0.7137 0.0383 0.7282  1 W 2.05, 2 Y 2.24-2.25
O 0.7137 0.9617 0.2282  1 W 2.05, 2 Y 2.24-2.25
O 0.7883 0.4832 0.2709  1 W 1.96
O 0.7883 0.5168 0.7709  1 W 1.96
O 0.8671 0.3459 0.0490  1 W 1.87
O 0.8671 0.6541 0.5490  1 W 1.87
O 0.9887 0.1429 0.6127  1 W 1.85
O 0.9887 0.8571 0.1127  1 W 1.85


Record 2
Entry from Alexandria: a relaxed ZrTeAsN2 crystal (GGA-PBEsol).

E_form (uncorrected): 0.506 eV per atom

a b c (Å): 4.1000 4.1000 5.9812
angles (deg): 90.00 90.00 90.00
Last column: nearest neighbours and their distance in Å.
Fractional coordinates of all 5 atoms:
Zr 0.0000 0.0000 0.0000  4 N 2.05
Te 0.0000 0.0000 0.5000  4 As 2.90, 2 Zr 2.99
As 0.5000 0.5000 0.5000  4 Te 2.90
N 0.0000 0.5000 0.0000  2 Zr 2.05
N 0.5000 0.0000 0.0000  2 Zr 2.05


Record 3
Entry from Alexandria: a relaxed TiZnBr3 crystal (GGA-PBEsol).

E_form (uncorrected): -0.549 eV per atom

a b c (Å): 5.0774 5.0774 5.0774
angles (deg): 90.00 90.00 90.00
Last column: nearest neighbours and their distance in Å.
Fractional coordinates of all 5 atoms:
Ti 0.0000 0.0000 0.0000  6 Br 2.54
Zn 0.5000 0.5000 0.5000  12 Br 3.59
Br 0.0000 0.0000 0.5000  2 Ti 2.54
Br 0.0000 0.5000 0.0000  2 Ti 2.54
Br 0.5000 0.0000 0.0000  2 Ti 2.54


Record 4
Entry from Alexandria: a relaxed CrNiOs2S crystal (GGA-PBEsol).

E_form (uncorrected): 1.923 eV per atom

a b c (Å): 4.4053 4.4053 4.3020
angles (deg): 90.00 90.00 90.00
Last column: nearest neighbours and their distance in Å.
Fractional coordinates of all 5 atoms:
Cr 0.0000 0.0000 0.0000  2 Ni 2.15
Ni 0.0000 0.0000 0.5000  2 Cr 2.15, 4 Os 2.20
Os 0.0000 0.5000 0.5000  2 Ni 2.20
Os 0.5000 0.0000 0.5000  2 Ni 2.20
S 0.5000 0.5000 0.0000  8 Os 3.08, 4 Cr 3.12


Among the records above, which one has the highest E_form (uncorrected)? CrNiOs2S